Record 1
The following is a DFT calculation (PBE) of a geometry-optimized Tc3Ru structure.

Properties
The density of states at the Fermi level comes out at 1.05 states/eV/atom. The crystal system is orthorhombic. The value obtained for the density is 11.40 g/cm3. For the energy relative to the elements, the calculation gives 0.000 eV per atom.

abc: 4.7737 8.7728 5.4982
angles: 90.00 90.00 90.00
Closest atoms and distances in Å follow each position.
Fractional positions:
Tc  0.2532  0.9978  0.8746  3 Ru 2.69-2.71, 9 Tc 2.69-2.78
Ru  0.4157  0.2500  0.1236  10 Tc 2.69-2.75, 2 Ru 2.76
Tc  0.7468  0.4978  0.1254  3 Ru 2.69-2.71, 9 Tc 2.69-2.78
Tc  0.9146  0.2500  0.8771  8 Tc 2.69-2.77, 4 Ru 2.74-2.75
Tc  0.2532  0.5022  0.8746  3 Ru 2.69-2.71, 9 Tc 2.69-2.78
Tc  0.2468  0.0022  0.3746  3 Ru 2.69-2.71, 9 Tc 2.69-2.78
Tc  0.2468  0.4978  0.3746  3 Ru 2.69-2.71, 9 Tc 2.69-2.78
Tc  0.7532  0.9978  0.6254  3 Ru 2.69-2.71, 9 Tc 2.69-2.78
Ru  0.0843  0.7500  0.6236  10 Tc 2.69-2.75, 2 Ru 2.76
Tc  0.4146  0.2500  0.6229  8 Tc 2.69-2.77, 4 Ru 2.74-2.75
Tc  0.0854  0.7500  0.1229  8 Tc 2.69-2.77, 4 Ru 2.74-2.75
Tc  0.7468  0.0022  0.1254  3 Ru 2.69-2.71, 9 Tc 2.69-2.78
Tc  0.5854  0.7500  0.3771  8 Tc 2.69-2.77, 4 Ru 2.74-2.75
Tc  0.7532  0.5022  0.6254  3 Ru 2.69-2.71, 9 Tc 2.69-2.78
Ru  0.9157  0.2500  0.3764  10 Tc 2.69-2.75, 2 Ru 2.76
Ru  0.5843  0.7500  0.8764  10 Tc 2.69-2.75, 2 Ru 2.76

Record 2
The following is a DFT calculation (PBE) of a geometry-optimized Dy4Y3Er structure.

Properties
The density of states at the Fermi level comes out at 1.80 states/eV/atom. The crystal system is monoclinic. The value obtained for the density is 6.93 g/cm3. For the energy relative to the elements, the calculation gives 0.168 eV per atom.

abc: 3.4785 6.6502 11.8292
angles: 106.27 98.45 90.00
Closest atoms and distances in Å follow each position.
Fractional positions:
Er  0.5000  0.0000  0.0000  2 Er 3.48, 4 Dy 3.67, 8 Y 3.67-3.75
Dy  0.1243  0.3678  0.2486  3 Y 3.24-3.41, 5 Dy 3.48-3.50
Dy  0.2606  0.7582  0.5211  9 Dy 3.48-3.81, 3 Y 3.50-3.51
Y  0.1248  0.8816  0.2496  5 Dy 3.24-3.51, 3 Y 3.28-3.48
Dy  0.8757  0.6322  0.7514  3 Y 3.24-3.41, 5 Dy 3.48-3.50
Y  0.8752  0.1184  0.7504  5 Dy 3.24-3.51, 3 Y 3.28-3.48
Y  0.0000  0.5000  0.0000  2 Dy 3.27, 4 Y 3.28-3.48
Dy  0.7394  0.2418  0.4789  9 Dy 3.48-3.81, 3 Y 3.50-3.51

Record 3
The following is a DFT calculation (PBE) of a geometry-optimized SrLi6Cu6 structure.

Properties
The density of states at the Fermi level comes out at 0.41 states/eV/atom. The crystal system is orthorhombic. The value obtained for the density is 4.16 g/cm3. For the energy relative to the elements, the calculation gives -0.054 eV per atom.

abc: 5.0444 6.8419 6.8419
angles: 83.30 68.37 68.37
Closest atoms and distances in Å follow each position.
Fractional positions:
Li  0.2879  0.2121  0.2121  6 Cu 2.62-2.85, 4 Li 2.84-2.91
Li  0.0000  0.3484  0.6516  6 Cu 2.71-2.72, 3 Li 2.76-2.91
Cu  0.5000  0.2351  0.7649  4 Cu 2.56, 6 Li 2.72-2.85
Cu  0.5000  0.5000  0.0000  4 Cu 2.52-2.56, 6 Li 2.62-2.78
Sr  0.0000  0.0000  0.0000  8 Li 3.15-3.20, 12 Cu 3.31-3.42
Cu  0.5000  0.7649  0.2351  4 Cu 2.56, 6 Li 2.72-2.85
Li  0.3593  0.6407  0.6407  1 Li 2.50, 6 Cu 2.72-2.78
Cu  0.5000  0.0000  0.5000  4 Cu 2.52-2.56, 6 Li 2.62-2.78
Li  0.0000  0.6516  0.3484  6 Cu 2.71-2.72, 3 Li 2.76-2.91
Li  0.6407  0.3593  0.3593  1 Li 2.50, 6 Cu 2.72-2.78
Cu  0.0000  0.5000  0.0000  4 Cu 2.52-2.56, 6 Li 2.62-2.78
Li  0.7121  0.7879  0.7879  6 Cu 2.62-2.85, 4 Li 2.84-2.91
Cu  0.0000  0.0000  0.5000  4 Cu 2.52-2.56, 6 Li 2.62-2.78

Record 4
The following is a DFT calculation (PBE) of a geometry-optimized NpNbFe structure.

Properties
The density of states at the Fermi level comes out at 1.49 states/eV/atom. The crystal system is trigonal. The value obtained for the density is 12.42 g/cm3. For the energy relative to the elements, the calculation gives 0.180 eV per atom.

abc: 3.7220 3.7220 8.8645
angles: 77.88 77.88 60.00
Closest atoms and distances in Å follow each position.
Fractional positions:
Np  0.1401  0.1401  0.5796  3 Np 2.55, 3 Fe 2.63
Fe  0.2520  0.2520  0.2441  3 Nb 2.43, 3 Np 2.63
Nb  0.3709  0.3709  0.8873  3 Fe 2.43
Np  0.8599  0.8599  0.4204  3 Np 2.55, 3 Fe 2.63
Fe  0.7480  0.7480  0.7559  3 Nb 2.43, 3 Np 2.63
Nb  0.6291  0.6291  0.1127  3 Fe 2.43

Record 5
The following is a DFT calculation (PBE) of a geometry-optimized NaTl2Cd9 structure.

Properties
The density of states at the Fermi level comes out at 0.30 states/eV/atom. The crystal system is trigonal. The value obtained for the density is 7.80 g/cm3. For the energy relative to the elements, the calculation gives -0.015 eV per atom.

abc: 6.0026 6.0026 10.4441
angles: 73.30 73.30 60.00
Closest atoms and distances in Å follow each position.
Fractional positions:
Cd  0.3337  0.3337  0.9990  6 Cd 3.03-3.04
Tl  0.8559  0.8559  0.4322  12 Cd 3.48-3.54, 3 Tl 3.71
Cd  0.5864  0.0805  0.7468  7 Cd 2.97-3.04
Cd  0.9195  0.4136  0.2532  7 Cd 2.97-3.04
Cd  0.5864  0.5864  0.7468  7 Cd 2.97-3.04
Tl  0.1441  0.1441  0.5678  12 Cd 3.48-3.54, 3 Tl 3.71
Cd  0.6663  0.6663  0.0010  6 Cd 3.03-3.04
Cd  0.5000  0.5000  0.5000  6 Cd 3.00
Na  0.0000  0.0000  0.0000  6 Cd 3.47
Cd  0.0805  0.5864  0.7468  7 Cd 2.97-3.04
Cd  0.4136  0.4136  0.2532  7 Cd 2.97-3.04
Cd  0.4136  0.9195  0.2532  7 Cd 2.97-3.04

Record 6
The following is a DFT calculation (PBE) of a geometry-optimized CuIBr3 structure.

Properties
The density of states at the Fermi level comes out at 1.31 states/eV/atom. The value obtained for the uncorrected formation energy is 0.13 eV per atom. The crystal system is cubic. The value obtained for the density is 5.37 g/cm3.

abc: 5.1037 5.1037 5.1037
angles: 90.00 90.00 90.00
Closest atoms and distances in Å follow each position.
Fractional positions:
Br  0.5000  0.0000  0.0000  2 Cu 2.55
Br  0.0000  0.0000  0.5000  2 Cu 2.55
Br  0.0000  0.5000  0.0000  2 Cu 2.55
Cu  0.0000  0.0000  0.0000  6 Br 2.55
I  0.5000  0.5000  0.5000  12 Br 3.61

Record 7
The following is a DFT calculation (PBE) of a geometry-optimized Hf2ZnSn2 structure.

Properties
The density of states at the Fermi level comes out at 0.64 states/eV/atom. The crystal system is tetragonal. The value obtained for the density is 9.79 g/cm3. For the energy relative to the elements, the calculation gives -0.107 eV per atom.

abc: 7.2438 7.2438 4.2666
angles: 90.00 90.00 90.00
Closest atoms and distances in Å follow each position.
Fractional positions:
Zn  0.0000  0.0000  0.0000  4 Hf 2.74
Hf  0.3446  0.8446  0.0000  2 Zn 2.74, 2 Sn 2.90
Hf  0.1554  0.3446  0.0000  2 Zn 2.74, 2 Sn 2.90
Sn  0.1522  0.6522  0.5000  6 Hf 2.90-3.08, 1 Sn 3.12
Sn  0.6522  0.8478  0.5000  6 Hf 2.90-3.08, 1 Sn 3.12
Sn  0.3478  0.1522  0.5000  6 Hf 2.90-3.08, 1 Sn 3.12
Hf  0.8446  0.6554  0.0000  2 Zn 2.74, 2 Sn 2.90
Sn  0.8478  0.3478  0.5000  6 Hf 2.90-3.08, 1 Sn 3.12
Hf  0.6554  0.1554  0.0000  2 Zn 2.74, 2 Sn 2.90
Zn  0.5000  0.5000  0.0000  4 Hf 2.74

Record 8
The following is a DFT calculation (PBE) of a geometry-optimized Ho2Tm3Ru3 structure.

Properties
The density of states at the Fermi level comes out at 0.53 states/eV/atom. The crystal system is orthorhombic. The value obtained for the density is 10.75 g/cm3. For the energy relative to the elements, the calculation gives -0.352 eV per atom.

abc: 3.4289 5.0298 10.6523
angles: 103.66 99.26 90.00
Closest atoms and distances in Å follow each position.
Fractional positions:
Tm  0.3901  0.3901  0.7801  6 Ru 2.82-3.04
Tm  0.6099  0.6099  0.2199  6 Ru 2.82-3.04
Ru  0.1143  0.1143  0.2286  2 Ho 2.73, 6 Tm 2.90-3.04
Ru  0.0000  0.5000  0.0000  8 Tm 2.82-3.04
Tm  0.5000  0.0000  0.0000  8 Ru 2.90-3.04
Ru  0.8857  0.8857  0.7714  2 Ho 2.73, 6 Tm 2.90-3.04
Ho  0.2814  0.7814  0.5628  2 Ru 2.73
Ho  0.7186  0.2186  0.4372  2 Ru 2.73

Record 9
The following is a DFT calculation (PBE) of a geometry-optimized Na2LiHfAs structure.

Properties
The density of states at the Fermi level comes out at 1.06 states/eV/atom. The crystal system is tetragonal. The value obtained for the density is 2.81 g/cm3. For the energy relative to the elements, the calculation gives 1.436 eV per atom.

abc: 5.8765 5.2336 5.8765
angles: 90.00 90.00 90.00
Closest atoms and distances in Å follow each position.
Fractional positions:
Na  0.0000  0.0000  0.5000  2 Hf 2.94
Hf  0.0000  0.0000  0.0000  2 Li 2.62
Na  0.5000  0.0000  0.0000  2 Hf 2.94
Li  0.0000  0.5000  0.0000  2 Hf 2.62
As  0.5000  0.5000  0.5000  8 Na 3.93, 4 Li 4.16

Record 10
The following is a DFT calculation (PBE) of a geometry-optimized NaCrSbI2 structure.

Properties
The density of states at the Fermi level comes out at 0.84 states/eV/atom. The value obtained for the uncorrected formation energy is 0.62 eV per atom. The crystal system is tetragonal. The value obtained for the density is 3.77 g/cm3.

abc: 5.8034 5.8034 5.8872
angles: 90.00 90.00 90.00
Closest atoms and distances in Å follow each position.
Fractional positions:
Cr  0.5000  0.5000  0.5000  4 Sb 4.10, 8 I 4.13
I  0.5000  0.0000  0.0000  2 Na 2.90
Sb  0.0000  0.0000  0.5000  2 Na 2.94
Na  0.0000  0.0000  0.0000  4 I 2.90, 2 Sb 2.94
I  0.0000  0.5000  0.0000  2 Na 2.90